(1)
VASP calculation (PBE with a Hubbard U) on an optimized crystal structure of TbMoClO4.

Calculated values
calculated volume: 18.039 Å³/atom
magnetization: 0.00 μB per atom
energy: -7.054 eV/atom
space-group type: C2/m, No. 12

abc: 6.3454 6.3454 6.9483
angles: 103.93 103.93 70.88
With the nearest neighbours (Å) after each atom.
Sites, in units of the cell vectors:
Tb  0.2221  0.2221  0.1130  4 O 2.32-2.34
Tb  0.7779  0.7779  0.8870  4 O 2.32-2.34
Mo  0.3617  0.3617  0.7310  4 O 1.77-1.82
Mo  0.6383  0.6383  0.2690  4 O 1.77-1.82
Cl  0.0105  0.0105  0.7678  2 Tb 2.73-2.77
Cl  0.9895  0.9895  0.2322  2 Tb 2.73-2.77
O  0.1107  0.4902  0.8473  1 Mo 1.82
O  0.2927  0.2927  0.4655  1 Mo 1.77
O  0.4583  0.4583  0.2035  1 Mo 1.78
O  0.4902  0.1107  0.8473  1 Mo 1.82
O  0.5098  0.8893  0.1527  1 Mo 1.82
O  0.5417  0.5417  0.7965  1 Mo 1.78
O  0.7073  0.7073  0.5345  1 Mo 1.77
O  0.8893  0.5098  0.1527  1 Mo 1.82



(2)
VASP calculation (PBE with a Hubbard U) on an optimized crystal structure of Tl2MoCl2O2.

Calculated values
calculated volume: 24.541 Å³/atom
magnetization: 0.00 μB per atom
energy: -4.674 eV/atom
space-group type: C2/m, No. 12

abc: 6.7528 6.7528 8.0635
angles: 120.20 120.20 33.29
With the nearest neighbours (Å) after each atom.
Sites, in units of the cell vectors:
Tl  0.1858  0.1858  0.2458  3 O 2.64-2.67
Tl  0.8142  0.8142  0.7542  3 O 2.64-2.67
Mo  0.0000  0.0000  0.5000  2 O 1.87
Cl  0.4463  0.4463  0.2553  2 Mo 2.58
Cl  0.5537  0.5537  0.7447  2 Mo 2.58
O  0.1595  0.1595  0.5534  1 Mo 1.87
O  0.8405  0.8405  0.4466  1 Mo 1.87



(3)
VASP calculation (PBE with a Hubbard U) on an optimized crystal structure of Tl2MoCl4O2.

Calculated values
calculated volume: 26.686 Å³/atom
magnetization: 0.00 μB per atom
energy: -4.173 eV/atom
space-group type: C2/m, No. 12

abc: 6.9326 6.9326 6.8278
angles: 118.17 118.17 61.04
With the nearest neighbours (Å) after each atom.
Sites, in units of the cell vectors:
Tl  0.2431  0.2431  0.3020  1 O 2.65
Tl  0.7569  0.7569  0.6980  1 O 2.65
Mo  0.5000  0.5000  0.0000  2 O 1.82
Cl  0.2074  0.6939  0.1926  1 Mo 2.42
Cl  0.3061  0.7926  0.8074  1 Mo 2.42
Cl  0.6939  0.2074  0.1926  1 Mo 2.42
Cl  0.7926  0.3061  0.8074  1 Mo 2.42
O  0.3271  0.3271  0.7510  1 Mo 1.82
O  0.6729  0.6729  0.2490  1 Mo 1.82